1.
Computed, not measured: crystalline Na6SrTl12 at its relaxed geometry at the PBE-GGA level of DFT.

ΔE_f = -0.03 eV/atom
electronic total energy = -2.027 eV per atom
magnetic moment = 0.00 μB per cell

The structure in CIF format:
```
data_Na6SrTl12
_chemical_formula_sum 'Na18 Sr3 Tl36'
_cell_length_a 13.9749
_cell_length_b 13.9749
_cell_length_c 10.7638
_cell_angle_alpha 90.00
_cell_angle_beta 90.00
_cell_angle_gamma 120.00
_space_group_name_H-M_alt 'R -3 m'
_space_group_IT_number 166
_space_group_name_Hall '-R 3 2"'
loop_
_atom_site_label
_atom_site_type_symbol
_atom_site_fract_x
_atom_site_fract_y
_atom_site_fract_z
Na1 Na 0.0648 0.5324 0.2340
Sr1 Sr 0.0000 0.0000 0.0000
Tl1 Tl 0.0000 0.3880 0.5000
Tl2 Tl 0.0838 0.1676 0.2815
```

2.
Computed, not measured: crystalline Tb6SiTe2 at its relaxed geometry at the PBE-GGA level of DFT.

raw formation energy = -0.494 eV per atom
electronic total energy = -4.882 eV per atom
magnetic moment = 0.00 μB per cell

The structure in CIF format:
```
data_Tb6SiTe2
_chemical_formula_sum 'Tb12 Si2 Te4'
_cell_length_a 6.9355
_cell_length_b 6.9355
_cell_length_c 12.7865
_cell_angle_alpha 90.00
_cell_angle_beta 90.00
_cell_angle_gamma 90.00
_space_group_name_H-M_alt 'P 42/m n m'
_space_group_IT_number 136
_space_group_name_Hall '-P 4n 2n'
loop_
_atom_site_label
_atom_site_type_symbol
_atom_site_fract_x
_atom_site_fract_y
_atom_site_fract_z
Tb1 Tb 0.1973 0.1973 0.1575
Tb2 Tb 0.2205 0.2205 0.5000
Si1 Si 0.0000 0.0000 0.0000
Te1 Te 0.0000 0.0000 0.3361
```

3.
Computed, not measured: crystalline TlSiPCl2 at its relaxed geometry at the PBE-GGA level of DFT.

raw formation energy = 0.676 eV per atom
electronic total energy = -2.703 eV per atom
magnetic moment = 0.31 μB per cell

The structure in CIF format:
```
data_TlSiPCl2
_chemical_formula_sum 'Tl1 Si1 P1 Cl2'
_cell_length_a 5.2364
_cell_length_b 5.2364
_cell_length_c 5.3458
_cell_angle_alpha 90.00
_cell_angle_beta 90.00
_cell_angle_gamma 90.00
_space_group_name_H-M_alt 'P 4/m m m'
_space_group_IT_number 123
_space_group_name_Hall '-P 4 2'
loop_
_atom_site_label
_atom_site_type_symbol
_atom_site_fract_x
_atom_site_fract_y
_atom_site_fract_z
Tl1 Tl 0.0000 0.0000 0.0000
Si1 Si 0.5000 0.5000 0.5000
P1 P 0.0000 0.0000 0.5000
Cl1 Cl 0.0000 0.5000 0.0000
```

4.
Computed, not measured: crystalline TlReIO2 at its relaxed geometry at the PBE-GGA level of DFT.

raw formation energy = -0.324 eV per atom
electronic total energy = -5.580 eV per atom
magnetic moment = 0.00 μB per cell

The structure in CIF format:
```
data_TlReIO2
_chemical_formula_sum 'Tl1 Re1 I1 O2'
_cell_length_a 4.0978
_cell_length_b 4.0978
_cell_length_c 5.8277
_cell_angle_alpha 90.00
_cell_angle_beta 90.00
_cell_angle_gamma 90.00
_space_group_name_H-M_alt 'P 4/m m m'
_space_group_IT_number 123
_space_group_name_Hall '-P 4 2'
loop_
_atom_site_label
_atom_site_type_symbol
_atom_site_fract_x
_atom_site_fract_y
_atom_site_fract_z
Tl1 Tl 0.0000 0.0000 0.0000
Re1 Re 0.5000 0.5000 0.5000
I1 I 0.5000 0.5000 0.0000
O1 O 0.0000 0.5000 0.5000
```

Please write out number 2 again, unchanged.
Computed, not measured: crystalline Tb6SiTe2 at its relaxed geometry at the PBE-GGA level of DFT.

raw formation energy = -0.494 eV per atom
electronic total energy = -4.882 eV per atom
magnetic moment = 0.00 μB per cell

The structure in CIF format:
```
data_Tb6SiTe2
_chemical_formula_sum 'Tb12 Si2 Te4'
_cell_length_a 6.9355
_cell_length_b 6.9355
_cell_length_c 12.7865
_cell_angle_alpha 90.00
_cell_angle_beta 90.00
_cell_angle_gamma 90.00
_space_group_name_H-M_alt 'P 42/m n m'
_space_group_IT_number 136
_space_group_name_Hall '-P 4n 2n'
loop_
_atom_site_label
_atom_site_type_symbol
_atom_site_fract_x
_atom_site_fract_y
_atom_site_fract_z
Tb1 Tb 0.1973 0.1973 0.1575
Tb2 Tb 0.2205 0.2205 0.5000
Si1 Si 0.0000 0.0000 0.0000
Te1 Te 0.0000 0.0000 0.3361
```